Entry 1:
DFT (PBE-GGA) results for SrAl2Fe after structural relaxation.

As for the energy of formation from the pure elements: 0.110 eV per atom. As for the density: 3.81 g cm⁻³. As for the total moment: 1.82 μB per formula unit.

The space group is Pmm2 (No. 25) and the conventional cell measures 3.125, 3.893 and 7.074 Å, with angles of 90.00, 90.00 and 90.00 degrees. The inequivalent atoms are Sr at (0.000, 0.000, 0.000), Al at (0.500, 0.000, 0.420), Al at (0.500, 0.500, 0.684) and Fe at (0.000, 0.500, 0.396).



Entry 2:
DFT (PBE-GGA) results for SrAl2Fe after structural relaxation.

As for the energy of formation from the pure elements: -0.039 eV per atom. As for the density: 4.42 g cm⁻³. As for the total moment: 0.00 μB per formula unit.

The space group is P4/mmm (No. 123) and the conventional cell measures 3.083, 3.083 and 7.799 Å, with angles of 90.00, 90.00 and 90.00 degrees. The inequivalent atoms are Sr at (0.000, 0.000, 0.000), Al at (0.500, 0.500, 0.331) and Fe at (0.000, 0.000, 0.500).



Entry 3:
DFT (PBE-GGA) results for Sr2AlFe after structural relaxation.

As for the energy of formation from the pure elements: 0.134 eV per atom. As for the density: 3.24 g cm⁻³. As for the total moment: 1.55 μB per formula unit.

The space group is Cm (No. 8) and the conventional cell measures 7.547, 4.348 and 8.437 Å, with angles of 90.00, 107.12 and 90.00 degrees. The inequivalent atoms are Sr at (0.000, 0.000, 0.000), Sr at (0.174, 0.000, 0.528), Al at (0.420, 0.000, 0.264) and Fe at (0.253, 0.500, 0.264).



Entry 4:
DFT (PBE-GGA) results for SrAl2Fe2 after structural relaxation.

As for the energy of formation from the pure elements: 0.070 eV per atom. As for the density: 4.95 g cm⁻³. As for the total moment: 4.24 μB per formula unit.

The space group is P4/mbm (No. 127) and the conventional cell measures 7.862, 7.862 and 2.748 Å, with angles of 90.00, 90.00 and 90.00 degrees. The inequivalent atoms are Sr at (0.000, 0.000, 0.000), Al at (0.168, 0.332, 0.500) and Fe at (0.114, 0.614, 0.000).



Entry 5:
DFT (PBE-GGA) results for SrAl2Fe after structural relaxation.

As for the energy of formation from the pure elements: -0.074 eV per atom. As for the density: 3.69 g cm⁻³. As for the total moment: 0.78 μB per formula unit.

The space group is R-3m (No. 166, hexagonal axes) and the conventional cell measures 4.2260, 4.2260 and 17.2178 Å, with angles of 90.00, 90.00 and 120.00 degrees. The inequivalent atoms are Sr at (0.0000, 0.0000, 0.0000), Al at (0.0000, 0.0000, 0.1964) and Fe at (0.0000, 0.0000, 0.5000).



Entry 6:
DFT (PBE-GGA) results for SrAl2Fe after structural relaxation.

As for the energy of formation from the pure elements: -0.050 eV per atom. As for the density: 3.63 g cm⁻³. As for the total moment: 0.80 μB per formula unit.

The space group is R3m (No. 160, hexagonal axes) and the conventional cell measures 4.2795, 4.2795 and 17.0870 Å, with angles of 90.00, 90.00 and 120.00 degrees. The inequivalent atoms are Sr at (0.0000, 0.0000, 0.0000), Al at (0.0000, 0.0000, 0.1913), Al at (0.0000, 0.0000, 0.4776) and Fe at (0.0000, 0.0000, 0.8172).



Entry 7:
DFT (PBE-GGA) results for Sr2AlFe after structural relaxation.

As for the energy of formation from the pure elements: 0.243 eV per atom. As for the density: 3.75 g cm⁻³. As for the total moment: 2.18 μB per formula unit.

The space group is Imm2 (No. 44) and the conventional cell measures 3.850, 5.419 and 10.967 Å, with angles of 90.00, 90.00 and 90.00 degrees. The inequivalent atoms are Sr at (0.000, 0.000, 0.000), Sr at (0.000, 0.500, 0.202), Al at (0.000, 0.500, 0.782) and Fe at (0.000, 0.000, 0.422).



Entry 8:
DFT (PBE-GGA) results for SrAl2Fe after structural relaxation.

As for the energy of formation from the pure elements: 0.321 eV per atom. As for the density: 4.12 g cm⁻³. As for the total moment: 2.33 μB per formula unit.

The space group is Fm-3m (No. 225) and the conventional cell measures 6.825, 6.825 and 6.825 Å, with angles of 90.00, 90.00 and 90.00 degrees. The inequivalent atoms are Sr at (0.000, 0.000, 0.000), Al at (0.250, 0.250, 0.250) and Fe at (0.000, 0.000, 0.500).



Entry 9:
DFT (PBE-GGA) results for SrAlFe4 after structural relaxation.

As for the energy of formation from the pure elements: 0.285 eV per atom. As for the density: 6.02 g cm⁻³. As for the total moment: 8.85 μB per formula unit.

The space group is F-43m (No. 216) and the conventional cell measures 7.197, 7.197 and 7.197 Å, with angles of 90.00, 90.00 and 90.00 degrees. The inequivalent atoms are Sr at (0.000, 0.000, 0.000), Al at (0.250, 0.250, 0.750) and Fe at (0.123, 0.123, 0.377).



Entry 10:
DFT (PBE-GGA) results for Sr2AlFe after structural relaxation.

As for the energy of formation from the pure elements: 0.652 eV per atom. As for the density: 3.42 g cm⁻³. As for the total moment: 2.73 μB per formula unit.

The space group is C2/m (No. 12) and the conventional cell measures 9.867, 3.571 and 7.223 Å, with angles of 90.00, 100.32 and 90.00 degrees. The inequivalent atoms are Sr at (0.245, 0.000, 0.244), Al at (0.000, 0.000, 0.500) and Fe at (0.000, 0.500, 0.000).



Entry 11:
DFT (PBE-GGA) results for Sr3AlFe after structural relaxation.

As for the energy of formation from the pure elements: 0.601 eV per atom. As for the density: 3.24 g cm⁻³. As for the total moment: 0.00 μB per formula unit. The energy above the most stable polymorph in this dataset comes out at 0 meV/atom.

The space group is Pm-3m (No. 221) and the conventional cell measures 5.618, 5.618 and 5.618 Å, with angles of 90.00, 90.00 and 90.00 degrees. The inequivalent atoms are Sr at (0.000, 0.000, 0.500), Al at (0.500, 0.500, 0.500) and Fe at (0.000, 0.000, 0.000).



Entry 12:
DFT (PBE-GGA) results for SrAl2Fe after structural relaxation.

As for the energy of formation from the pure elements: 0.097 eV per atom. As for the density: 3.93 g cm⁻³. As for the total moment: 0.00 μB per formula unit.

The space group is Imm2 (No. 44) and the conventional cell measures 3.015, 3.957 and 13.969 Å, with angles of 90.00, 90.00 and 90.00 degrees. The inequivalent atoms are Sr at (0.000, 0.000, 0.000), Al at (0.000, 0.000, 0.664), Al at (0.000, 0.500, 0.803) and Fe at (0.000, 0.500, 0.300).



Entry 13:
DFT (PBE-GGA) results for Sr2AlFe after structural relaxation.

As for the energy of formation from the pure elements: 0.196 eV per atom. As for the density: 3.44 g cm⁻³. As for the total moment: 2.04 μB per formula unit.

The space group is Amm2 (No. 38) and the conventional cell measures 4.490, 4.742 and 11.704 Å, with angles of 90.00, 90.00 and 90.00 degrees. The inequivalent atoms are Sr at (0.000, 0.000, 0.000), Sr at (0.500, 0.000, 0.286), Al at (0.000, 0.000, 0.692) and Fe at (0.500, 0.000, 0.603).



Entry 14:
DFT (PBE-GGA) results for SrAl2Fe after structural relaxation.

As for the energy of formation from the pure elements: 0.397 eV per atom. As for the density: 3.88 g cm⁻³. As for the total moment: 2.25 μB per formula unit.

The space group is P4/mmm (No. 123) and the conventional cell measures 4.251, 4.251 and 4.677 Å, with angles of 90.00, 90.00 and 90.00 degrees. The inequivalent atoms are Sr at (0.000, 0.000, 0.000), Al at (0.000, 0.500, 0.500) and Fe at (0.500, 0.500, 0.000).



Entry 15:
DFT (PBE-GGA) results for Sr2AlFe after structural relaxation.

As for the energy of formation from the pure elements: 0.203 eV per atom. As for the density: 3.78 g cm⁻³. As for the total moment: 2.07 μB per formula unit.

The space group is P4mm (No. 99) and the conventional cell measures 3.536, 3.536 and 9.066 Å, with angles of 90.00, 90.00 and 90.00 degrees. The inequivalent atoms are Sr at (0.000, 0.000, 0.000), Sr at (0.500, 0.500, 0.397), Al at (0.000, 0.000, 0.660) and Fe at (0.500, 0.500, 0.740).